# Mn2NiHAu | Alexandria via LeMat-Bulk | GGA-PBE | optimized geometry
# **Magnetic moment**: 7.730 μB/cell
# **Density of states at the Fermi level**: 0.71 states/eV/atom
# **Energy above the lowest structure with this stoichiometry**: 0 meV/atom
# **Electronic total energy**: -6.145 eV per atom
data_Mn2NiHAu
_symmetry_space_group_name_H-M 'P 1'
_symmetry_Int_Tables_number 1
_symmetry_space_group_name_Hall 'P 1'
_cell_length_a 3.995
_cell_length_b 3.995
_cell_length_c 3.681
_cell_angle_alpha 90.00
_cell_angle_beta 90.00
_cell_angle_gamma 90.00
loop_
_atom_site_label
_atom_site_type_symbol
_atom_site_fract_x
_atom_site_fract_y
_atom_site_fract_z
_atom_site_occupancy
Mn1 Mn 0.000 0.500 0.000 1
Mn2 Mn 0.500 0.000 0.000 1
Ni1 Ni 0.000 0.000 0.500 1
H1 H 0.000 0.000 0.000 1
Au1 Au 0.500 0.500 0.500 1

# Ho4SnI5 | Alexandria via LeMat-Bulk | GGA-PBE | optimized geometry
# **Magnetic moment**: 0.000 μB/cell
# **ΔE_f (raw)**: -99.5 kJ/mol of atoms
# **Density of states at the Fermi level**: 0.47 states/eV/atom
# **Electronic total energy**: -4.038 eV per atom
data_Ho4SnI5
_symmetry_space_group_name_H-M 'P 1'
_symmetry_Int_Tables_number 1
_symmetry_space_group_name_Hall 'P 1'
_cell_length_a 9.785
_cell_length_b 9.785
_cell_length_c 8.903
_cell_angle_alpha 101.69
_cell_angle_beta 101.69
_cell_angle_gamma 25.29
loop_
_atom_site_label
_atom_site_type_symbol
_atom_site_fract_x
_atom_site_fract_y
_atom_site_fract_z
_atom_site_occupancy
Ho1 Ho 0.001 0.001 0.224 1
Ho2 Ho 0.346 0.346 0.925 1
Ho3 Ho 0.654 0.654 0.075 1
Ho4 Ho 0.999 0.999 0.776 1
Sn1 Sn 0.500 0.500 0.000 1
I1 I 0.167 0.167 0.331 1
I2 I 0.172 0.172 0.829 1
I3 I 0.500 0.500 0.500 1
I4 I 0.828 0.828 0.171 1
I5 I 0.833 0.833 0.669 1

# Li4C | Alexandria via LeMat-Bulk | GGA-PBE | optimized geometry
# **Formation energy**: 373 meV per atom
# **Magnetic moment**: 0.000 μB/cell
# **Density of states at the Fermi level**: 0.09 states/eV/atom
# **Energy above the lowest structure with this stoichiometry**: 81 meV/atom
# **Electronic total energy**: -3.003 eV per atom
data_Li4C
_symmetry_space_group_name_H-M 'P 1'
_symmetry_Int_Tables_number 1
_symmetry_space_group_name_Hall 'P 1'
_cell_length_a 4.159
_cell_length_b 4.159
_cell_length_c 4.159
_cell_angle_alpha 102.82
_cell_angle_beta 102.82
_cell_angle_gamma 123.81
loop_
_atom_site_label
_atom_site_type_symbol
_atom_site_fract_x
_atom_site_fract_y
_atom_site_fract_z
_atom_site_occupancy
Li1 Li 0.142 0.722 0.864 1
Li2 Li 0.278 0.142 0.421 1
Li3 Li 0.722 0.858 0.579 1
Li4 Li 0.858 0.278 0.136 1
C1 C 0.500 0.500 0.000 1

# VHg3Pt | Alexandria via LeMat-Bulk | GGA-PBE | optimized geometry
# **Formation energy**: 686 meV per atom
# **Magnetic moment**: 4.240 μB/cell
# **Density of states at the Fermi level**: 1.35 states/eV/atom
# **Energy above the lowest structure with this stoichiometry**: 0 meV/atom
# **Electronic total energy**: -2.527 eV per atom
data_VHg3Pt
_symmetry_space_group_name_H-M 'P 1'
_symmetry_Int_Tables_number 1
_symmetry_space_group_name_Hall 'P 1'
_cell_length_a 5.215
_cell_length_b 5.215
_cell_length_c 5.215
_cell_angle_alpha 90.00
_cell_angle_beta 90.00
_cell_angle_gamma 90.00
loop_
_atom_site_label
_atom_site_type_symbol
_atom_site_fract_x
_atom_site_fract_y
_atom_site_fract_z
_atom_site_occupancy
V1 V 0.000 0.000 0.000 1
Hg1 Hg 0.000 0.500 0.500 1
Hg2 Hg 0.500 0.000 0.500 1
Hg3 Hg 0.500 0.500 0.000 1
Pt1 Pt 0.500 0.500 0.500 1

# TlMoIr2 | Alexandria via LeMat-Bulk | GGA-PBE | optimized geometry
# **Formation energy**: 342 meV per atom
# **Magnetic moment**: 1.021 μB/cell
# **Density of states at the Fermi level**: 0.84 states/eV/atom
# **Energy above the lowest structure with this stoichiometry**: 253 meV/atom
# **Electronic total energy**: -7.388 eV per atom
data_TlMoIr2
_symmetry_space_group_name_H-M 'P 1'
_symmetry_Int_Tables_number 1
_symmetry_space_group_name_Hall 'P 1'
_cell_length_a 4.882
_cell_length_b 4.882
_cell_length_c 4.882
_cell_angle_alpha 130.34
_cell_angle_beta 130.34
_cell_angle_gamma 72.86
loop_
_atom_site_label
_atom_site_type_symbol
_atom_site_fract_x
_atom_site_fract_y
_atom_site_fract_z
_atom_site_occupancy
Tl1 Tl 0.000 0.000 0.000 1
Mo1 Mo 0.500 0.500 0.000 1
Ir1 Ir 0.250 0.750 0.500 1
Ir2 Ir 0.750 0.250 0.500 1

# Np3Tl4AgTe8 | Alexandria via LeMat-Bulk | GGA-PBE | optimized geometry
# **Magnetic moment**: 9.980 μB/cell
# **ΔE_f (raw)**: -44.1 kJ/mol of atoms
# **Density of states at the Fermi level**: 1.86 states/eV/atom
# **Electronic total energy**: -5.224 eV per atom
data_Np3Tl4AgTe8
_symmetry_space_group_name_H-M 'P 1'
_symmetry_Int_Tables_number 1
_symmetry_space_group_name_Hall 'P 1'
_cell_length_a 9.628
_cell_length_b 9.628
_cell_length_c 9.628
_cell_angle_alpha 54.69
_cell_angle_beta 54.69
_cell_angle_gamma 54.69
loop_
_atom_site_label
_atom_site_type_symbol
_atom_site_fract_x
_atom_site_fract_y
_atom_site_fract_z
_atom_site_occupancy
Np1 Np 0.000 0.500 0.500 1
Np2 Np 0.500 0.000 0.500 1
Np3 Np 0.500 0.500 0.000 1
Tl1 Tl 0.000 0.000 0.500 1
Tl2 Tl 0.000 0.500 0.000 1
Tl3 Tl 0.500 0.000 0.000 1
Tl4 Tl 0.500 0.500 0.500 1
Ag1 Ag 0.000 0.000 0.000 1
Te1 Te 0.238 0.238 0.734 1
Te2 Te 0.238 0.734 0.238 1
Te3 Te 0.262 0.262 0.262 1
Te4 Te 0.266 0.762 0.762 1
Te5 Te 0.734 0.238 0.238 1
Te6 Te 0.738 0.738 0.738 1
Te7 Te 0.762 0.266 0.762 1
Te8 Te 0.762 0.762 0.266 1

# Np2Ga4CuPt3 | Alexandria via LeMat-Bulk | GGA-PBE | optimized geometry
# **Formation energy**: -479 meV per atom
# **Magnetic moment**: 8.154 μB/cell
# **Density of states at the Fermi level**: 2.15 states/eV/atom
# **Electronic total energy**: -6.500 eV per atom
data_Np2Ga4CuPt3
_symmetry_space_group_name_H-M 'P 1'
_symmetry_Int_Tables_number 1
_symmetry_space_group_name_Hall 'P 1'
_cell_length_a 4.075
_cell_length_b 4.075
_cell_length_c 11.208
_cell_angle_alpha 90.00
_cell_angle_beta 90.00
_cell_angle_gamma 90.00
loop_
_atom_site_label
_atom_site_type_symbol
_atom_site_fract_x
_atom_site_fract_y
_atom_site_fract_z
_atom_site_occupancy
Np1 Np 0.000 0.500 0.250 1
Np2 Np 0.500 0.000 0.750 1
Ga1 Ga 0.000 0.000 0.000 1
Ga2 Ga 0.000 0.500 0.630 1
Ga3 Ga 0.500 0.000 0.370 1
Ga4 Ga 0.500 0.500 0.000 1
Cu1 Cu 0.000 0.000 0.500 1
Pt1 Pt 0.000 0.500 0.854 1
Pt2 Pt 0.500 0.000 0.146 1
Pt3 Pt 0.500 0.500 0.500 1

# La2PrDy2Y | Alexandria via LeMat-Bulk | GGA-PBE | optimized geometry
# **Formation energy**: 59 meV per atom
# **Magnetic moment**: 0.000 μB/cell
# **Density of states at the Fermi level**: 1.70 states/eV/atom
# **Electronic total energy**: -4.992 eV per atom
data_La2PrDy2Y
_symmetry_space_group_name_H-M 'P 1'
_symmetry_Int_Tables_number 1
_symmetry_space_group_name_Hall 'P 1'
_cell_length_a 7.169
_cell_length_b 5.761
_cell_length_c 9.956
_cell_angle_alpha 90.00
_cell_angle_beta 90.00
_cell_angle_gamma 90.00
loop_
_atom_site_label
_atom_site_type_symbol
_atom_site_fract_x
_atom_site_fract_y
_atom_site_fract_z
_atom_site_occupancy
La1 La 0.000 0.000 0.000 1
La2 La 0.250 0.500 0.175 1
La3 La 0.500 0.000 0.000 1
La4 La 0.750 0.500 0.825 1
Pr1 Pr 0.250 0.000 0.660 1
Pr2 Pr 0.750 0.000 0.340 1
Dy1 Dy 0.250 0.000 0.334 1
Dy2 Dy 0.250 0.500 0.834 1
Dy3 Dy 0.750 0.000 0.666 1
Dy4 Dy 0.750 0.500 0.166 1
Y1 Y 0.000 0.500 0.500 1
Y2 Y 0.500 0.500 0.500 1

- Which formula does entry 6 have?
  Np3Tl4AgTe8